No. 1
DFT (PBE) results for KAc4Tl5 after structural relaxation.

```
data_KAc4Tl5
_chemical_formula_sum 'K1 Ac4 Tl5'
_cell_length_a 4.1433
_cell_length_b 4.1433
_cell_length_c 21.1281
_cell_angle_alpha 90.00
_cell_angle_beta 90.00
_cell_angle_gamma 90.00
_space_group_name_H-M_alt 'P 4/m m m'
_space_group_IT_number 123
_space_group_name_Hall '-P 4 2'
loop_
_atom_site_label
_atom_site_fract_x
_atom_site_fract_y
_atom_site_fract_z
K1 0.0000 0.0000 0.0000
Ac1 0.0000 0.0000 0.2066
Ac2 0.0000 0.0000 0.4024
Tl1 0.5000 0.5000 0.1160
Tl2 0.5000 0.5000 0.3053
Tl3 0.5000 0.5000 0.5000
```

***

No. 2
DFT (PBE) results for KAcTlZn after structural relaxation.

```
data_KAcTlZn
_chemical_formula_sum 'K4 Ac4 Tl4 Zn4'
_cell_length_a 8.0916
_cell_length_b 8.0916
_cell_length_c 8.0916
_cell_angle_alpha 90.00
_cell_angle_beta 90.00
_cell_angle_gamma 90.00
_space_group_name_H-M_alt 'F -4 3 m'
_space_group_IT_number 216
_space_group_name_Hall 'F -4 2 3'
loop_
_atom_site_label
_atom_site_fract_x
_atom_site_fract_y
_atom_site_fract_z
K1 0.0000 0.0000 0.0000
Ac1 0.0000 0.0000 0.5000
Tl1 0.2500 0.2500 0.2500
Zn1 0.2500 0.2500 0.7500
```

***

No. 3
DFT (PBE) results for KAc2Tm after structural relaxation.

```
data_KAc2Tm
_chemical_formula_sum 'K3 Ac6 Tm3'
_cell_length_a 3.8688
_cell_length_b 3.8688
_cell_length_c 41.6209
_cell_angle_alpha 90.00
_cell_angle_beta 90.00
_cell_angle_gamma 120.00
_space_group_name_H-M_alt 'R -3 m'
_space_group_IT_number 166
_space_group_name_Hall '-R 3 2"'
loop_
_atom_site_label
_atom_site_fract_x
_atom_site_fract_y
_atom_site_fract_z
K1 0.0000 0.0000 0.0000
Ac1 0.0000 0.0000 0.0967
Tm1 0.0000 0.0000 0.5000
```

***

No. 4
DFT (PBE) results for KAc2Y after structural relaxation.

```
data_KAc2Y
_chemical_formula_sum 'K3 Ac6 Y3'
_cell_length_a 3.8884
_cell_length_b 3.8884
_cell_length_c 41.8346
_cell_angle_alpha 90.00
_cell_angle_beta 90.00
_cell_angle_gamma 120.00
_space_group_name_H-M_alt 'R -3 m'
_space_group_IT_number 166
_space_group_name_Hall '-R 3 2"'
loop_
_atom_site_label
_atom_site_fract_x
_atom_site_fract_y
_atom_site_fract_z
K1 0.0000 0.0000 0.0000
Ac1 0.0000 0.0000 0.0958
Y1 0.0000 0.0000 0.5000
```

***

No. 5
DFT (PBE) results for KAcZn2 after structural relaxation.

```
data_KAcZn2
_chemical_formula_sum 'K1 Ac1 Zn2'
_cell_length_a 4.0356
_cell_length_b 4.0356
_cell_length_c 8.1810
_cell_angle_alpha 90.00
_cell_angle_beta 90.00
_cell_angle_gamma 90.00
_space_group_name_H-M_alt 'P 4/m m m'
_space_group_IT_number 123
_space_group_name_Hall '-P 4 2'
loop_
_atom_site_label
_atom_site_fract_x
_atom_site_fract_y
_atom_site_fract_z
K1 0.0000 0.0000 0.0000
Ac1 0.0000 0.0000 0.5000
Zn1 0.5000 0.5000 0.2978
```

***

No. 6
DFT (PBE) results for KAc2Zn after structural relaxation.

```
data_KAc2Zn
_chemical_formula_sum 'K3 Ac6 Zn3'
_cell_length_a 4.0323
_cell_length_b 4.0323
_cell_length_c 38.2000
_cell_angle_alpha 90.00
_cell_angle_beta 90.00
_cell_angle_gamma 120.00
_space_group_name_H-M_alt 'R -3 m'
_space_group_IT_number 166
_space_group_name_Hall '-R 3 2"'
loop_
_atom_site_label
_atom_site_fract_x
_atom_site_fract_y
_atom_site_fract_z
K1 0.0000 0.0000 0.0000
Ac1 0.0000 0.0000 0.1087
Zn1 0.0000 0.0000 0.5000
```

***

no.,formation energy (eV per atom),calculated volume (Å³/cell)
1,-0.295,363
2,-0.052,530
3,0.178,540
4,0.159,548
5,0.000,133
6,0.109,538